No. 1
Compound: AcGa4Cu2
Source: Alexandria via LeMat-Bulk
Functional: GGA-PBE
Structure: relaxed

It has space group Cmmm (No. 65), with a = 4.4560 Å, b = 13.5927 Å, c = 4.4668 Å, α = 90.00°, β = 90.00° and γ = 90.00°. Symmetry generates all atoms from Ac at (0.0000, 0.0000, 0.0000), Ga at (0.0000, 0.1842, 0.5000), Ga at (0.0000, 0.3117, 0.0000) and Cu at (0.0000, 0.4073, 0.5000).

The excess energy over the best structure of this formula in the dataset is 67 meV/atom. The value obtained for the size of the total moment is 0.00 μB/atom. The value obtained for the energy of formation is -0.296 eV/atom.

No. 2
Compound: Zr2PaZn
Source: Alexandria via LeMat-Bulk
Functional: GGA-PBE
Structure: relaxed

It has space group P4/mmm (No. 123), with a = 3.5888 Å, b = 3.5888 Å, c = 6.5672 Å, α = 90.00°, β = 90.00° and γ = 90.00°. Symmetry generates all atoms from Zr at (0.0000, 0.0000, 0.2413), Pa at (0.5000, 0.5000, 0.5000) and Zn at (0.5000, 0.5000, 0.0000).

The excess energy over the best structure of this formula in the dataset is 12 meV/atom. The value obtained for the size of the total moment is 0.00 μB/atom. The value obtained for the energy of formation is -0.020 eV/atom.

No. 3
Compound: CeHoAl6
Source: Alexandria via LeMat-Bulk
Functional: GGA-PBE
Structure: relaxed

It has space group P-6m2 (No. 187), with a = 6.3093 Å, b = 6.3093 Å, c = 4.6390 Å, α = 90.00°, β = 90.00° and γ = 120.00°. Symmetry generates all atoms from Ce at (0.0000, 0.0000, 0.0000), Ho at (0.6667, 0.3333, 0.5000), Al at (0.0401, 0.5200, 0.0000) and Al at (0.1877, 0.3753, 0.5000).

The value obtained for the size of the total moment is 0.04 μB/atom. The value obtained for the energy of formation is -0.420 eV/atom.

No. 4
Compound: Ac6GaPt2I3
Source: Alexandria via LeMat-Bulk
Functional: GGA-PBE
Structure: relaxed

It has space group C2/m (No. 12), with a = 7.8742 Å, b = 13.7152 Å, c = 8.8457 Å, α = 90.00°, β = 107.43° and γ = 90.00°. Symmetry generates all atoms from Ac at (0.2177, 0.0000, 0.1926), Ac at (0.2387, 0.3266, 0.1930), Ga at (0.0000, 0.5000, 0.0000), Pt at (0.0000, 0.1671, 0.0000), I at (0.0000, 0.0000, 0.5000) and I at (0.0000, 0.3390, 0.5000).

The value obtained for the size of the total moment is 0.00 μB/atom. Its formation energy without anion corrections is -1024 meV per atom.

No. 5
Compound: LiScMo2
Source: Alexandria via LeMat-Bulk
Functional: GGA-PBE
Structure: relaxed

It has space group P4mm (No. 99), with a = 2.6895 Å, b = 2.6895 Å, c = 9.5943 Å, α = 90.00°, β = 90.00° and γ = 90.00°. Symmetry generates all atoms from Li at (0.0000, 0.0000, 0.0000), Sc at (0.5000, 0.5000, 0.7211), Mo at (0.0000, 0.0000, 0.4784) and Mo at (0.5000, 0.5000, 0.2364).

The excess energy over the best structure of this formula in the dataset is 175 meV/atom. The value obtained for the size of the total moment is 0.00 μB/atom. The value obtained for the energy of formation is 0.358 eV/atom.

No. 6
Compound: Ba2HgTe4
Source: Alexandria via LeMat-Bulk
Functional: GGA-PBE
Structure: relaxed

It has space group I4/mmm (No. 139), with a = 5.6967 Å, b = 5.6967 Å, c = 17.4464 Å, α = 90.00°, β = 90.00° and γ = 90.00°. Symmetry generates all atoms from Ba at (0.0000, 0.0000, 0.1330), Hg at (0.0000, 0.0000, 0.5000), Te at (0.0000, 0.0000, 0.3308) and Te at (0.0000, 0.5000, 0.0000).

The excess energy over the best structure of this formula in the dataset is 235 meV/atom. The value obtained for the size of the total moment is 0.00 μB/atom. Its formation energy without anion corrections is -760 meV per atom.